[1]
12
Lattice="4.5731 -0.3279 -0.2342 -0.3223 4.5735 -0.2342 1.3887 1.3871 11.2644" Properties=species:S:1:pos:R:3 comment="NdP2Pd7Pb2, relaxed, DFT PBE" space_group="C2/m (12)" delta_e_f_ev_per_fu=-5.925 pbc="T T T"
Pd 2.0008 4.0003 1.9593
Pd 2.1254 2.1228 -0.2342
Pb 4.2178 4.2126 3.8630
Pd 3.5177 3.5134 6.5167
Pd 1.6368 3.6367 8.8367
Pd 4.0027 1.9960 1.9593
P 1.6354 1.6334 2.0367
Pb 1.4218 1.4201 6.9330
Pd 3.6387 1.6324 8.8367
Nd 0.0000 0.0000 0.0000
Pd 2.1219 2.1193 4.2793
P 4.0042 3.9993 8.7593

***

[2]
20
Lattice="7.9743 0.0000 0.0000 -2.6581 7.5182 0.0000 -2.6581 -3.7591 6.5110" Properties=species:S:1:pos:R:3 comment="Nd4P3Rh12Pb, relaxed, DFT PBE" space_group="Im-3m (229)" delta_e_f_ev_per_fu=-8.743 pbc="T T T"
Rh 3.9871 2.8193 1.6277
Rh 3.8708 -2.7371 4.7407
Nd 3.9871 0.0000 0.0000
Rh 3.9871 0.0000 3.2555
Pb 0.0000 0.0000 0.0000
Rh 1.4454 -1.0221 1.7703
P 2.6581 3.7591 0.0000
Rh -1.3290 0.9398 4.8832
P -2.6581 1.8796 3.2555
Rh 3.8708 5.4741 0.0000
Nd 1.3290 1.8796 3.2555
Rh -3.8708 2.7371 4.7407
Rh 1.4454 2.0441 0.0000
Nd -1.3290 3.7591 0.0000
Rh 1.3290 -0.9398 4.8832
Rh -1.4454 1.0221 1.7703
Rh 1.3290 4.6989 1.6277
Nd -1.3290 -1.8796 3.2555
Rh -1.3290 3.7591 3.2555
P 2.6581 -1.8796 3.2555

***

[3]
15
Lattice="6.1076 0.0000 0.0000 -3.0538 5.2893 0.0000 0.0000 0.0000 9.4828" Properties=species:S:1:pos:R:3 comment="Nd3P2Rh9Pb, relaxed, DFT PBE" space_group="P-3m1 (164)" delta_e_f_ev_per_fu=-8.643 pbc="T T T"
Rh 3.0538 3.6900 6.9676
P 0.0000 3.5262 1.4799
Nd 0.0000 3.5262 6.8046
Nd 0.0000 0.0000 0.0000
Rh 3.0538 0.0000 0.0000
Rh 1.6687 4.4897 2.5152
Rh -1.6687 4.4897 2.5152
Pb 0.0000 0.0000 4.7414
Rh 0.0000 1.5993 2.5152
Rh 1.5269 2.6447 0.0000
Rh 4.7226 0.7997 6.9676
Nd 3.0538 1.7631 2.6782
Rh 1.3851 0.7997 6.9676
P 3.0538 1.7631 8.0029
Rh -1.5269 2.6447 0.0000

***

[4]
18
Lattice="7.3320 -0.5190 -0.3681 3.1696 6.6319 -0.3681 3.1696 1.8450 6.3807" Properties=species:S:1:pos:R:3 comment="Nd2P3Rh12Pb, relaxed, DFT PBE" space_group="R-3m (166)" delta_e_f_ev_per_fu=-3.226 pbc="T T T"
Nd 5.4865 3.1936 2.2652
P 3.6660 -0.2595 -0.1841
Rh 10.2136 3.7353 4.9909
P 1.5848 0.9225 3.1903
Rh 6.3861 3.7173 5.5458
Rh 8.2920 7.0365 4.9909
Nd 8.1848 4.7642 3.3792
Rh 4.8977 5.5965 3.9695
Rh 8.7736 2.3613 1.6749
Rh 5.3792 0.9213 0.6535
Rh 3.4576 4.2225 0.6535
P 1.5848 3.3159 -0.1841
Rh 3.4576 2.0126 3.7691
Pb 0.0000 0.0000 0.0000
Rh 6.3861 6.4629 1.6749
Rh 7.2851 1.4949 3.9695
Rh 7.2851 4.2405 0.0986
Rh 10.2136 5.9452 1.8753

***

[5]
8
Lattice="-2.5257 3.2662 -0.5139 -5.8199 -3.7909 4.5092 1.0841 1.9176 6.8602" Properties=species:S:1:pos:R:3 comment="Nd4PPb2Se, relaxed, DFT PBE" space_group="P2/m (10)" raw_formation_energy_ev_per_atom=-1.1072 pbc="T T T"
Nd -3.3489 -1.2690 8.3934
Nd -2.1609 1.9328 6.0616
Pb -0.7208 2.5919 3.1732
Nd -3.9126 2.6619 2.4621
Nd -5.1006 -0.5399 4.7939
Pb 1.0841 1.9176 6.8602
Se -4.1728 -0.2623 1.9977
P -2.3679 -0.9366 5.6847

***

[6]
16
Lattice="-1.7633 0.8823 3.9184 2.4053 -3.1952 1.8019 12.9398 11.5572 3.2204" Properties=species:S:1:pos:R:3 comment="NdP2Pd, relaxed, DFT PBE" de_polymorph_ev_per_fu=0.94 space_group="P4_1 (76)" delta_e_f_ev_per_fu=-3.078 pbc="T T T"
P 2.5915 -0.9289 3.1964
P 14.6608 9.1142 4.8144
Nd 9.5117 4.7361 3.8043
Nd 0.4575 1.2816 4.2373
Pd 9.4505 7.5336 5.5443
P 11.2223 8.5719 6.9379
P 5.1098 3.1289 2.6872
Pd 3.6057 1.2413 3.2656
Pd 6.3561 4.6896 4.0119
Nd 5.4416 2.0239 5.7192
Nd 10.9975 9.7724 3.9325
P 2.9270 2.8860 1.7963
P 5.3219 5.8471 5.7192
Pd 13.1700 9.8639 6.4081
P 10.5858 6.2967 7.1272
P 7.2707 6.8511 4.8186

***

[7]
11
Lattice="-0.2033 -1.7624 -3.7882 -5.9560 -3.8188 2.0962 -0.7819 6.6688 -3.0606" Properties=species:S:1:pos:R:3 comment="Nd2P3Pd6, relaxed, DFT PBE" space_group="P-62m (189)" delta_e_f_ev_per_fu=-9.815 pbc="T T T"
P -2.5564 0.1571 -2.2454
P -3.8877 -3.3087 -0.5616
Nd -4.2313 -0.3229 0.3773
Pd -0.6160 5.2538 -2.4112
P -0.5987 3.3580 -3.8396
Pd -4.7414 1.0814 -2.5581
Pd -4.6922 -3.0085 1.6515
Pd -1.4297 0.6047 -0.2046
Nd -2.5066 3.1729 -1.3416
Pd -1.9562 -2.0703 -1.2414
Pd -0.3451 1.1954 -2.8471

***

[8]
6
Lattice="-1.1307 5.4445 1.4303 -2.3489 0.4749 -3.6646 -5.4719 -1.3255 0.7198" Properties=species:S:1:pos:R:3 comment="NdPPd, relaxed, DFT PBE" space_group="Cmcm (63)" delta_e_f_ev_per_fu=-3.198 pbc="T T T"
Pd -6.8982 3.2122 -0.3938
P -5.0202 3.2306 1.0206
Nd -4.4234 4.1122 -1.8635
P -3.9314 1.3633 -2.5351
Pd -2.0534 1.3817 -1.1206
Nd -4.5281 0.4817 0.3490

***

| no. | uncorrected energy (eV per atom) |
| --- | --- |
| 1 | -5.4400 |
| 2 | -6.7985 |
| 3 | -6.9092 |
| 4 | -6.7176 |
| 5 | -5.5300 |
| 6 | -5.9645 |
| 7 | -6.0670 |
| 8 | -6.1896 |